(1)
CuAg2PbCl6, optimized geometry, DFT PBE; space-group type = P2_1/c, No. 14; raw formation energy = -0.629 eV per atom
1.0
6.807 0.000 0.000
0.000 6.768 0.000
-5.848 0.000 10.894
Cu Ag Pb Cl
2 4 2 12
Direct
0.000 0.000 0.000 Cu
0.000 0.500 0.500 Cu
0.254 0.021 0.745 Ag
0.254 0.479 0.245 Ag
0.746 0.521 0.755 Ag
0.746 0.979 0.255 Ag
0.500 0.000 0.500 Pb
0.500 0.500 0.000 Pb
0.063 0.202 0.430 Cl
0.063 0.298 0.930 Cl
0.220 0.652 0.425 Cl
0.220 0.848 0.925 Cl
0.374 0.112 0.250 Cl
0.374 0.388 0.750 Cl
0.626 0.612 0.250 Cl
0.626 0.888 0.750 Cl
0.780 0.152 0.075 Cl
0.780 0.348 0.575 Cl
0.937 0.702 0.070 Cl
0.937 0.798 0.570 Cl


(2)
Cu4Ag3PbCl12, optimized geometry, DFT PBE; space-group type = R32, No. 155; raw formation energy = -0.525 eV per atom
1.0
6.775 3.912 3.388
-6.775 3.912 3.388
0.000 -7.824 3.388
Cu Ag Pb Cl
4 3 1 12
Direct
0.000 0.000 0.000 Cu
0.000 0.425 0.575 Cu
0.425 0.575 0.000 Cu
0.575 0.000 0.425 Cu
0.067 0.933 0.500 Ag
0.500 0.067 0.933 Ag
0.933 0.500 0.067 Ag
0.500 0.500 0.500 Pb
0.000 0.588 0.412 Cl
0.000 0.839 0.161 Cl
0.161 0.000 0.839 Cl
0.169 0.280 0.523 Cl
0.280 0.523 0.169 Cl
0.412 0.000 0.588 Cl
0.477 0.720 0.831 Cl
0.523 0.169 0.280 Cl
0.588 0.412 0.000 Cl
0.720 0.831 0.477 Cl
0.831 0.477 0.720 Cl
0.839 0.161 0.000 Cl


(3)
Cu2AgPbCl6, optimized geometry, DFT PBE; space-group type = P1, No. 1; raw formation energy = -0.660 eV per atom
1.0
6.775 0.000 0.000
3.386 5.868 0.000
0.000 3.908 6.647
Cu Ag Pb Cl
2 1 1 6
Direct
0.000 0.000 0.000 Cu
0.490 0.020 0.470 Cu
0.744 0.510 0.235 Ag
0.244 0.510 0.735 Pb
0.158 0.029 0.476 Cl
0.331 0.991 0.994 Cl
0.503 0.337 0.475 Cl
0.677 0.337 0.994 Cl
0.812 0.682 0.476 Cl
0.984 0.684 0.994 Cl


(4)
Cu2AgPdCl8, optimized geometry, DFT PBE; space-group type = P2/m, No. 10; raw formation energy = -0.439 eV per atom
1.0
6.890 0.000 0.000
0.000 6.851 0.000
-0.410 0.000 6.979
Cu Ag Pd Cl
2 1 1 8
Direct
0.000 0.250 0.000 Cu
0.000 0.750 0.000 Cu
0.500 0.000 0.500 Ag
0.500 0.500 0.500 Pd
0.162 0.500 0.158 Cl
0.163 0.000 0.157 Cl
0.330 0.267 0.663 Cl
0.330 0.733 0.663 Cl
0.670 0.267 0.337 Cl
0.670 0.733 0.337 Cl
0.837 0.000 0.843 Cl
0.838 0.500 0.842 Cl


(5)
CuAgPd2Cl6, optimized geometry, DFT PBE; space-group type = P1, No. 1; raw formation energy = -0.383 eV per atom
1.0
6.454 0.000 0.000
3.227 5.590 0.000
3.225 1.851 5.904
Cu Ag Pd Cl
1 1 2 6
Direct
0.000 0.000 0.000 Cu
0.501 0.503 0.494 Ag
0.251 0.251 0.247 Pd
0.748 0.749 0.756 Pd
0.107 0.892 0.502 Cl
0.350 0.650 0.002 Cl
0.499 0.108 0.502 Cl
0.650 0.999 0.002 Cl
0.891 0.500 0.502 Cl
0.999 0.349 0.002 Cl


(6)
CuAgPdCl6, optimized geometry, DFT PBE; space-group type = P4_2nm, No. 102; raw formation energy = -0.423 eV per atom
1.0
6.083 0.000 0.000
0.000 6.083 0.000
0.000 0.000 11.003
Cu Ag Pd Cl
2 2 2 12
Direct
0.000 0.000 0.000 Cu
0.500 0.500 0.500 Cu
0.000 0.000 0.682 Ag
0.500 0.500 0.182 Ag
0.000 0.000 0.340 Pd
0.500 0.500 0.840 Pd
0.178 0.178 0.175 Cl
0.193 0.193 0.495 Cl
0.202 0.202 0.856 Cl
0.298 0.702 0.356 Cl
0.307 0.693 0.995 Cl
0.322 0.678 0.675 Cl
0.678 0.322 0.675 Cl
0.693 0.307 0.995 Cl
0.702 0.298 0.356 Cl
0.798 0.798 0.856 Cl
0.807 0.807 0.495 Cl
0.822 0.822 0.175 Cl


(7)
PmCuAgCl5, optimized geometry, DFT PBE; space-group type = C2/c, No. 15; raw formation energy = -1.287 eV per atom
1.0
4.593 -5.414 0.000
4.593 5.414 0.000
-4.425 0.000 9.072
Pm Cu Ag Cl
2 2 2 10
Direct
0.000 0.500 0.000 Pm
0.500 0.000 0.500 Pm
0.044 0.956 0.750 Cu
0.956 0.044 0.250 Cu
0.392 0.608 0.750 Ag
0.608 0.392 0.250 Ag
0.195 0.791 0.921 Cl
0.209 0.805 0.579 Cl
0.217 0.281 0.870 Cl
0.281 0.217 0.370 Cl
0.359 0.641 0.250 Cl
0.641 0.359 0.750 Cl
0.719 0.783 0.630 Cl
0.783 0.719 0.130 Cl
0.791 0.195 0.421 Cl
0.805 0.209 0.079 Cl


(8)
PuCuAgCl6, optimized geometry, DFT PBE; space-group type = P4_2nm, No. 102; raw formation energy = -1.107 eV per atom
1.0
6.293 0.000 0.000
0.000 6.293 0.000
0.000 0.000 11.540
Pu Cu Ag Cl
2 2 2 12
Direct
0.000 0.000 0.000 Pu
0.500 0.500 0.500 Pu
0.000 0.000 0.333 Cu
0.500 0.500 0.833 Cu
0.000 0.000 0.673 Ag
0.500 0.500 0.173 Ag
0.191 0.191 0.177 Cl
0.200 0.200 0.489 Cl
0.215 0.215 0.841 Cl
0.285 0.715 0.341 Cl
0.300 0.700 0.989 Cl
0.309 0.691 0.677 Cl
0.691 0.309 0.677 Cl
0.700 0.300 0.989 Cl
0.715 0.285 0.341 Cl
0.785 0.785 0.841 Cl
0.800 0.800 0.489 Cl
0.809 0.809 0.177 Cl


(9)
PuCuAg2Cl8, optimized geometry, DFT PBE; space-group type = P-1, No. 2; raw formation energy = -0.949 eV per atom
1.0
6.679 0.000 0.000
1.611 6.521 0.000
0.678 0.425 7.768
Pu Cu Ag Cl
1 1 2 8
Direct
0.000 0.000 0.000 Pu
0.000 0.000 0.500 Cu
0.458 0.441 0.739 Ag
0.542 0.559 0.261 Ag
0.167 0.120 0.257 Cl
0.252 0.136 0.779 Cl
0.254 0.690 0.502 Cl
0.256 0.639 0.015 Cl
0.744 0.361 0.985 Cl
0.746 0.310 0.498 Cl
0.748 0.864 0.221 Cl
0.833 0.880 0.743 Cl


(10)
Rb2Cu2AgCl6, optimized geometry, DFT PBE; space-group type = C2/m, No. 12; raw formation energy = -1.027 eV per atom
1.0
6.693 -3.538 0.000
6.693 3.538 0.000
-3.270 0.000 6.576
Rb Cu Ag Cl
2 2 1 6
Direct
0.223 0.223 0.199 Rb
0.777 0.777 0.801 Rb
0.443 0.443 0.780 Cu
0.557 0.557 0.220 Cu
0.000 0.000 0.500 Ag
0.205 0.704 0.217 Cl
0.263 0.263 0.688 Cl
0.296 0.795 0.783 Cl
0.704 0.205 0.217 Cl
0.737 0.737 0.312 Cl
0.795 0.296 0.783 Cl


(11)
RbCu2AgCl5, optimized geometry, DFT PBE; space-group type = P4/mmm, No. 123; raw formation energy = -0.783 eV per atom
1.0
4.702 0.000 0.000
0.000 4.702 0.000
0.000 0.000 9.416
Rb Cu Ag Cl
1 2 1 5
Direct
0.000 0.000 0.000 Rb
0.500 0.500 0.266 Cu
0.500 0.500 0.734 Cu
0.000 0.000 0.500 Ag
0.000 0.500 0.309 Cl
0.000 0.500 0.691 Cl
0.500 0.000 0.309 Cl
0.500 0.000 0.691 Cl
0.500 0.500 0.000 Cl


(12)
Rb2CuAgCl4, optimized geometry, DFT PBE; space-group type = Fddd, No. 70; raw formation energy = -1.161 eV per atom
1.0
0.000 7.144 12.658
2.700 0.000 12.658
2.700 7.144 0.000
Rb Cu Ag Cl
4 2 2 8
Direct
0.050 0.050 0.700 Rb
0.300 0.300 0.950 Rb
0.700 0.700 0.050 Rb
0.950 0.950 0.300 Rb
0.375 0.375 0.375 Cu
0.625 0.625 0.625 Cu
0.125 0.125 0.125 Ag
0.875 0.875 0.875 Ag
0.011 0.352 0.456 Cl
0.319 0.544 0.648 Cl
0.352 0.011 0.681 Cl
0.456 0.681 0.011 Cl
0.544 0.319 0.989 Cl
0.648 0.989 0.319 Cl
0.681 0.456 0.352 Cl
0.989 0.648 0.544 Cl